Density functional theory data (PBE) for a geometry-optimized AlCdSn2 structure.

```
AlCdSn2
1.0
3.3284 0.0000 0.0000
0.0000 3.3284 0.0000
0.0000 0.0000 8.7365
Sn Al Cd
2 1 1
Direct
0.0000 0.0000 0.7718
0.0000 0.0000 0.2282
0.5000 0.5000 0.0000
0.5000 0.5000 0.5000
```

Calculated values
* space group: P4/mmm, No. 123
* uncorrected energy: -12.21 eV for the cell shown
* crystal system: tetragonal
* spin magnetization: 0.0 μB per formula unit
* polymorph energy (0 for the lowest one): 0 meV per atom